No. 1
Compound: Ac3Bi
Source: the Alexandria database
Functional: GGA-PBE
Structure: optimized geometry

Cell lengths 6.0775, 6.0775, 6.0775 Å; angles 60.00, 60.00, 60.00 degrees
Closest atoms and distances in Å follow each position.
Element x y z (fractional)
Ac1 0.0000 0.0000 0.0000  8 Ac 3.72
Ac2 0.2500 0.2500 0.2500  4 Ac 3.72, 4 Bi 3.72
Ac3 0.7500 0.7500 0.7500  4 Ac 3.72, 4 Bi 3.72
Bi1 0.5000 0.5000 0.5000  8 Ac 3.72

energy relative to the lowest polymorph listed for this composition: 0.2104 eV per atom

No. 2
Compound: AcPuSbSe
Source: the Alexandria database
Functional: GGA-PBE
Structure: optimized geometry

Cell lengths 4.9746, 4.9746, 10.8947 Å; angles 90.00, 90.00, 90.00 degrees
Closest atoms and distances in Å follow each position.
Element x y z (fractional)
Ac1 0.2500 0.2500 0.1557  4 Se 3.01
Ac2 0.7500 0.7500 0.8443  4 Se 3.01
Pu1 0.2500 0.7500 0.5000  4 Sb 3.19, 4 Pu 3.52
Pu2 0.7500 0.2500 0.5000  4 Sb 3.19, 4 Pu 3.52
Sb1 0.2500 0.2500 0.6831  4 Pu 3.19
Sb2 0.7500 0.7500 0.3169  4 Pu 3.19
Se1 0.2500 0.7500 0.0000  4 Ac 3.01
Se2 0.7500 0.2500 0.0000  4 Ac 3.01

formation energy from raw total energies: -100.3 kJ/mol of atoms
energy relative to the lowest polymorph listed for this composition: 0.0325 eV per atom

No. 3
Compound: Nd3Ge5Pd6
Source: the Alexandria database
Functional: GGA-PBE
Structure: optimized geometry

Cell lengths 4.2202, 13.0771, 9.7456 Å; angles 90.00, 90.00, 90.00 degrees
Closest atoms and distances in Å follow each position.
Element x y z (fractional)
Nd1 0.2500 0.0780 0.2441  6 Ge 3.08-3.19, 8 Pd 3.16-3.39
Nd2 0.2500 0.4220 0.2441  6 Ge 3.08-3.19, 8 Pd 3.16-3.39
Nd3 0.2500 0.7500 0.2576  6 Ge 3.12-3.20, 6 Pd 3.30
Nd4 0.7500 0.2500 0.7424  6 Ge 3.12-3.20, 6 Pd 3.30
Nd5 0.7500 0.5780 0.7559  6 Ge 3.08-3.19, 8 Pd 3.16-3.39
Nd6 0.7500 0.9220 0.7559  6 Ge 3.08-3.19, 8 Pd 3.16-3.39
Ge1 0.2500 0.0856 0.8522  5 Pd 2.54-2.65
Ge2 0.2500 0.4144 0.8522  5 Pd 2.54-2.65
Ge3 0.2500 0.6352 0.5387  5 Pd 2.56-2.66
Ge4 0.2500 0.7500 0.8394  4 Pd 2.61-2.70
Ge5 0.2500 0.8648 0.5387  5 Pd 2.56-2.66
Ge6 0.7500 0.1352 0.4613  5 Pd 2.56-2.66
Ge7 0.7500 0.2500 0.1606  4 Pd 2.61-2.70
Ge8 0.7500 0.3648 0.4613  5 Pd 2.56-2.66
Ge9 0.7500 0.5856 0.1478  5 Pd 2.54-2.65
Ge10 0.7500 0.9144 0.1478  5 Pd 2.54-2.65
Pd1 0.2500 0.0568 0.5908  4 Ge 2.56-2.66, 1 Pd 2.74
Pd2 0.2500 0.2500 0.0025  4 Ge 2.60-2.61
Pd3 0.2500 0.2500 0.4823  4 Ge 2.60, 2 Pd 2.74
Pd4 0.2500 0.4432 0.5908  4 Ge 2.56-2.66, 1 Pd 2.74
Pd5 0.2500 0.5834 0.0030  4 Ge 2.54-2.70
Pd6 0.2500 0.9166 0.0030  4 Ge 2.54-2.70
Pd7 0.7500 0.0834 0.9970  4 Ge 2.54-2.70
Pd8 0.7500 0.4166 0.9970  4 Ge 2.54-2.70
Pd9 0.7500 0.5568 0.4092  4 Ge 2.56-2.66, 1 Pd 2.74
Pd10 0.7500 0.7500 0.5177  4 Ge 2.60, 2 Pd 2.74
Pd11 0.7500 0.7500 0.9975  4 Ge 2.60-2.61
Pd12 0.7500 0.9432 0.4092  4 Ge 2.56-2.66, 1 Pd 2.74

DFT total energy: -160.125 eV/cell

No. 4
Compound: Ti2AlPb
Source: the Alexandria database
Functional: GGA-PBE
Structure: optimized geometry

Cell lengths 6.0224, 6.0224, 6.0224 Å; angles 103.34, 103.34, 122.58 degrees
Closest atoms and distances in Å follow each position.
Element x y z (fractional)
Ti1 0.1141 0.6250 0.9891  2 Al 2.68, 2 Pb 2.79, 2 Ti 2.90
Ti2 0.3750 0.3641 0.4891  2 Al 2.68, 2 Pb 2.79, 2 Ti 2.90
Ti3 0.6359 0.1250 0.0109  2 Al 2.68, 2 Pb 2.79, 2 Ti 2.90
Ti4 0.8750 0.8859 0.5109  2 Al 2.68, 2 Pb 2.79, 2 Ti 2.90
Al1 0.0000 0.0000 0.0000  4 Ti 2.68, 2 Pb 2.89
Al2 0.7500 0.2500 0.5000  4 Ti 2.68, 2 Pb 2.89
Pb1 0.2500 0.7500 0.5000  4 Ti 2.79, 2 Al 2.89
Pb2 0.5000 0.5000 0.0000  4 Ti 2.79, 2 Al 2.89

DFT total energy: -44.720 eV/cell

No. 5
Compound: Ac2VP2N6
Source: the Alexandria database
Functional: GGA-PBE
Structure: optimized geometry

Cell lengths 6.2079, 6.2079, 6.2079 Å; angles 53.43, 53.43, 53.43 degrees
Closest atoms and distances in Å follow each position.
Element x y z (fractional)
Ac1 0.2336 0.2336 0.2336  9 N 2.82-2.99
Ac2 0.7664 0.7664 0.7664  9 N 2.82-2.99
V1 0.0000 0.0000 0.0000  6 N 2.04
P1 0.4334 0.4334 0.4334  3 N 1.63
P2 0.5666 0.5666 0.5666  3 N 1.63
N1 0.2456 0.2456 0.7382  1 P 1.63
N2 0.2456 0.7382 0.2456  1 P 1.63
N3 0.2618 0.7544 0.7544  1 P 1.63
N4 0.7382 0.2456 0.2456  1 P 1.63
N5 0.7544 0.2618 0.7544  1 P 1.63
N6 0.7544 0.7544 0.2618  1 P 1.63

formation energy from raw total energies: -92.3 kJ/mol of atoms

No. 6
Compound: La2Ce2Bi2C
Source: the Alexandria database
Functional: GGA-PBE
Structure: optimized geometry

Cell lengths 9.2414, 9.2414, 9.2414 Å; angles 149.13, 149.13, 44.22 degrees
Closest atoms and distances in Å follow each position.
Element x y z (fractional)
La1 0.1595 0.1595 0.0000  1 C 2.73
La2 0.8405 0.8405 0.0000  1 C 2.73
Ce1 0.0000 0.5000 0.5000  2 C 2.46
Ce2 0.5000 0.0000 0.5000  2 C 2.46
Bi1 0.3599 0.3599 0.0000  5 La 3.43-3.49, 4 Ce 3.44
Bi2 0.6401 0.6401 0.0000  5 La 3.43-3.49, 4 Ce 3.44
C1 0.0000 0.0000 0.0000  4 Ce 2.46, 2 La 2.73

DFT total energy: -43.413 eV/cell

no.,density of states at the Fermi level (states/eV/atom),ρ (g cm⁻³),total moment (μB per cell)
1,1.186,9.31,0.000
2,1.962,8.27,11.998
3,0.512,8.86,0.000
4,0.848,6.79,0.000
5,0.277,7.55,1.000
6,1.458,7.92,1.543